No. 1
A plane-wave DFT calculation with GGA+U was carried out for a relaxed ReMo2F crystal.

Computed properties:
Distance to the lowest polymorph of the same formula in meV per atom: 0
Calculated density in g/cm³: 10.76
SG: I-42d (122)

abc: 5.421 5.421 5.421
angles: 108.36 108.36 111.72
Positions (direct):
Re  0.000  0.000  0.000
Re  0.750  0.250  0.500
Mo  0.168  0.625  0.043
Mo  0.375  0.418  0.543
Mo  0.582  0.125  0.957
Mo  0.875  0.832  0.457
F  0.250  0.750  0.500
F  0.500  0.500  0.000

---

No. 2
A plane-wave DFT calculation with GGA+U was carried out for a relaxed ScRe2MoF crystal.

Computed properties:
Calculated density in g/cm³: 11.05
SG: P4/mmm (123)
Raw total energy in eV/atom: -7.334

abc: 4.414 4.414 4.107
angles: 90.00 90.00 90.00
Positions (direct):
Sc  0.000  0.000  0.000
Re  0.000  0.500  0.500
Re  0.500  0.000  0.500
Mo  0.500  0.500  0.000
F  0.000  0.000  0.500

---

No. 3
A plane-wave DFT calculation with GGA+U was carried out for a relaxed ReMoWF crystal.

Computed properties:
Distance to the lowest polymorph of the same formula in meV per atom: 69
Calculated density in g/cm³: 12.60
SG: Amm2 (38)

abc: 2.909 7.838 7.838
angles: 20.97 90.00 90.00
Positions (direct):
Re  0.000  0.000  0.000
Mo  0.500  0.380  0.380
W  0.500  0.621  0.621
F  0.500  0.236  0.236